No. 1
# CaBe2P, optimized geometry, DFT PBE
# Crystal system ... tetragonal
# Space-group type ... P4/mmm
data_CaBe2P
_chemical_formula_sum 'Ca1 Be2 P1'
_cell_length_a 3.142
_cell_length_b 3.142
_cell_length_c 6.262
_cell_angle_alpha 90.00
_cell_angle_beta 90.00
_cell_angle_gamma 90.00
_space_group_name_H-M_alt 'P 1'
_space_group_IT_number 1
loop_
_space_group_symop_operation_xyz
'x,y,z'
loop_
_atom_site_label
_atom_site_type_symbol
_atom_site_fract_x
_atom_site_fract_y
_atom_site_fract_z
Ca1 Ca 0.000 0.000 0.000
Be1 Be 0.500 0.500 0.335
Be2 Be 0.500 0.500 0.665
P1 P 0.000 0.000 0.500

=====

No. 2
# CaBeP, optimized geometry, DFT PBE
# Crystal system ... cubic
# Space-group type ... F-43m
# E above lowest polymorph ... 1166 meV/atom
data_CaBeP
_chemical_formula_sum 'Ca1 Be1 P1'
_cell_length_a 4.525
_cell_length_b 4.525
_cell_length_c 4.525
_cell_angle_alpha 60.00
_cell_angle_beta 60.00
_cell_angle_gamma 60.00
_space_group_name_H-M_alt 'P 1'
_space_group_IT_number 1
loop_
_space_group_symop_operation_xyz
'x,y,z'
loop_
_atom_site_label
_atom_site_type_symbol
_atom_site_fract_x
_atom_site_fract_y
_atom_site_fract_z
Ca1 Ca 0.000 0.000 0.000
Be1 Be 0.250 0.250 0.250
P1 P 0.750 0.750 0.750

=====

No. 3
# CaBeP3, optimized geometry, DFT PBE
# Crystal system ... cubic
# Space-group type ... Pm-3m
# E above lowest polymorph ... 1525 meV/atom
data_CaBeP3
_chemical_formula_sum 'Ca1 Be1 P3'
_cell_length_a 5.129
_cell_length_b 5.129
_cell_length_c 5.129
_cell_angle_alpha 90.00
_cell_angle_beta 90.00
_cell_angle_gamma 90.00
_space_group_name_H-M_alt 'P 1'
_space_group_IT_number 1
loop_
_space_group_symop_operation_xyz
'x,y,z'
loop_
_atom_site_label
_atom_site_type_symbol
_atom_site_fract_x
_atom_site_fract_y
_atom_site_fract_z
Ca1 Ca 0.000 0.000 0.000
Be1 Be 0.500 0.500 0.500
P1 P 0.000 0.000 0.500
P2 P 0.000 0.500 0.000
P3 P 0.500 0.000 0.000

=====

No. 4
# CaBe2P, optimized geometry, DFT PBE
# Crystal system ... orthorhombic
# Space-group type ... Imm2
data_CaBe2P
_chemical_formula_sum 'Ca1 Be2 P1'
_cell_length_a 5.876
_cell_length_b 5.876
_cell_length_c 5.876
_cell_angle_alpha 146.41
_cell_angle_beta 144.22
_cell_angle_gamma 49.88
_space_group_name_H-M_alt 'P 1'
_space_group_IT_number 1
loop_
_space_group_symop_operation_xyz
'x,y,z'
loop_
_atom_site_label
_atom_site_type_symbol
_atom_site_fract_x
_atom_site_fract_y
_atom_site_fract_z
Ca1 Ca 0.000 0.000 0.000
Be1 Be 0.354 0.354 0.000
Be2 Be 0.756 0.256 0.500
P1 P 0.233 0.733 0.500

=====

No. 5
# CaBeP, optimized geometry, DFT PBE
# Crystal system ... monoclinic
# Space-group type ... C2/m
# E above lowest polymorph ... 115 meV/atom
data_CaBeP
_chemical_formula_sum 'Ca2 Be2 P2'
_cell_length_a 5.223
_cell_length_b 5.223
_cell_length_c 6.156
_cell_angle_alpha 100.83
_cell_angle_beta 100.83
_cell_angle_gamma 43.15
_space_group_name_H-M_alt 'P 1'
_space_group_IT_number 1
loop_
_space_group_symop_operation_xyz
'x,y,z'
loop_
_atom_site_label
_atom_site_type_symbol
_atom_site_fract_x
_atom_site_fract_y
_atom_site_fract_z
Ca1 Ca 0.115 0.115 0.279
Ca2 Ca 0.885 0.885 0.721
Be1 Be 0.371 0.371 0.064
Be2 Be 0.629 0.629 0.936
P1 P 0.176 0.176 0.773
P2 P 0.824 0.824 0.227

=====

No. 6
# CaBe2P, optimized geometry, DFT PBE
# Crystal system ... orthorhombic
# Space-group type ... Pmmm
data_CaBe2P
_chemical_formula_sum 'Ca1 Be2 P1'
_cell_length_a 3.687
_cell_length_b 4.291
_cell_length_c 4.342
_cell_angle_alpha 90.00
_cell_angle_beta 90.00
_cell_angle_gamma 90.00
_space_group_name_H-M_alt 'P 1'
_space_group_IT_number 1
loop_
_space_group_symop_operation_xyz
'x,y,z'
loop_
_atom_site_label
_atom_site_type_symbol
_atom_site_fract_x
_atom_site_fract_y
_atom_site_fract_z
Ca1 Ca 0.000 0.000 0.000
Be1 Be 0.500 0.500 0.241
Be2 Be 0.500 0.500 0.759
P1 P 0.000 0.500 0.500

=====

No. 7
# CaBeP, optimized geometry, DFT PBE
# Crystal system ... orthorhombic
# Space-group type ... Immm
# E above lowest polymorph ... 129 meV/atom
data_CaBeP
_chemical_formula_sum 'Ca2 Be2 P2'
_cell_length_a 5.786
_cell_length_b 5.786
_cell_length_c 5.786
_cell_angle_alpha 142.94
_cell_angle_beta 96.70
_cell_angle_gamma 94.89
_space_group_name_H-M_alt 'P 1'
_space_group_IT_number 1
loop_
_space_group_symop_operation_xyz
'x,y,z'
loop_
_atom_site_label
_atom_site_type_symbol
_atom_site_fract_x
_atom_site_fract_y
_atom_site_fract_z
Ca1 Ca 0.222 0.222 0.000
Ca2 Ca 0.778 0.778 0.000
Be1 Be 0.356 0.000 0.356
Be2 Be 0.644 0.000 0.644
P1 P 0.225 0.500 0.725
P2 P 0.775 0.500 0.275

=====

No. 8
# CaBeP3, optimized geometry, DFT PBE
# Crystal system ... cubic
# Space-group type ... Pm-3m
# E above lowest polymorph ... 0 meV/atom
data_CaBeP3
_chemical_formula_sum 'Ca1 Be1 P3'
_cell_length_a 4.439
_cell_length_b 4.439
_cell_length_c 4.439
_cell_angle_alpha 90.00
_cell_angle_beta 90.00
_cell_angle_gamma 90.00
_space_group_name_H-M_alt 'P 1'
_space_group_IT_number 1
loop_
_space_group_symop_operation_xyz
'x,y,z'
loop_
_atom_site_label
_atom_site_type_symbol
_atom_site_fract_x
_atom_site_fract_y
_atom_site_fract_z
Ca1 Ca 0.000 0.000 0.000
Be1 Be 0.500 0.500 0.500
P1 P 0.000 0.500 0.500
P2 P 0.500 0.000 0.500
P3 P 0.500 0.500 0.000

=====

It is found that the E_form values, taken in the order of the records, are 0.200, 0.391, 1.567, -0.058, -0.659, -0.251, -0.646, 0.042 eV per atom.